{
  "formula": "Tm6Ge2Sb3Se",
  "functional": "PBE-GGA",
  "state": "optimized geometry",
  "formation_energy_uncorrected_mev_per_atom": -1078,
  "e_tot_ev_per_atom": -5.404,
  "lattice": [[9.218, -2.094, 0.000], [9.218, 2.094, 0.000], [-2.027, 0.000, 8.203]],
  "species": ["Tm", "Tm", "Tm", "Tm", "Tm", "Tm", "Ge", "Ge", "Sb", "Sb", "Sb", "Se"],
  "frac_coords": [[0.007, 0.007, 0.248], [0.329, 0.329, 0.427], [0.335, 0.335, 0.903], [0.665, 0.665, 0.097], [0.671, 0.671, 0.573], [0.993, 0.993, 0.752], [0.166, 0.166, 0.332], [0.834, 0.834, 0.668], [0.164, 0.164, 0.834], [0.500, 0.500, 0.500], [0.836, 0.836, 0.166], [0.500, 0.500, 0.000]]
}

{
  "formula": "Ca2AlIrO6",
  "functional": "PBE-GGA",
  "state": "optimized geometry",
  "formation_energy_uncorrected_mev_per_atom": -2128,
  "e_tot_ev_per_atom": -6.763,
  "lattice": [[5.451, 0.000, 0.000], [0.000, 5.451, 0.000], [0.000, 0.000, 3.813]],
  "species": ["Ca", "Ca", "Al", "Ir", "O", "O", "O", "O", "O", "O"],
  "frac_coords": [[0.000, 0.500, 0.000], [0.500, 0.000, 0.000], [0.000, 0.000, 0.500], [0.500, 0.500, 0.500], [0.000, 0.000, 0.000], [0.245, 0.245, 0.500], [0.245, 0.755, 0.500], [0.500, 0.500, 0.000], [0.755, 0.245, 0.500], [0.755, 0.755, 0.500]]
}

{
  "formula": "Sr2GaSi3Au4",
  "functional": "PBE-GGA",
  "state": "optimized geometry",
  "formation_energy_uncorrected_mev_per_atom": -502,
  "e_tot_ev_per_atom": -4.079,
  "lattice": [[4.451, 0.000, 0.000], [0.000, 4.451, 0.000], [0.000, 0.000, 10.506]],
  "species": ["Sr", "Sr", "Ga", "Si", "Si", "Si", "Au", "Au", "Au", "Au"],
  "frac_coords": [[0.000, 0.500, 0.247], [0.500, 0.000, 0.753], [0.000, 0.000, 0.500], [0.000, 0.500, 0.872], [0.500, 0.000, 0.128], [0.500, 0.500, 0.500], [0.000, 0.000, 0.000], [0.000, 0.500, 0.634], [0.500, 0.000, 0.366], [0.500, 0.500, 0.000]]
}

{
  "formula": "GaMoBr3",
  "functional": "PBE-GGA",
  "state": "optimized geometry",
  "formation_energy_uncorrected_mev_per_atom": -89,
  "e_tot_ev_per_atom": -3.865,
  "relative_energy_mev_per_atom": 0.0,
  "lattice": [[5.403, 0.000, 0.000], [0.000, 5.403, 0.000], [0.000, 0.000, 5.403]],
  "species": ["Ga", "Mo", "Br", "Br", "Br"],
  "frac_coords": [[0.000, 0.000, 0.000], [0.500, 0.500, 0.500], [0.000, 0.500, 0.500], [0.500, 0.000, 0.500], [0.500, 0.500, 0.000]]
}

{
  "formula": "BaMnCr2Cd",
  "functional": "PBE-GGA",
  "state": "optimized geometry",
  "e_tot_ev_per_atom": -5.331,
  "formation_energy_ev_per_atom": 0.920,
  "lattice": [[4.778, 0.000, 0.000], [0.000, 4.778, 0.000], [0.000, 0.000, 5.973]],
  "species": ["Ba", "Mn", "Cr", "Cr", "Cd"],
  "frac_coords": [[0.000, 0.000, 0.000], [0.000, 0.000, 0.500], [0.000, 0.500, 0.500], [0.500, 0.000, 0.500], [0.500, 0.500, 0.000]]
}

{
  "formula": "SmZn2Ru",
  "functional": "PBE-GGA",
  "state": "optimized geometry",
  "e_tot_ev_per_atom": -4.372,
  "formation_energy_ev_per_atom": -0.236,
  "lattice": [[2.836, -5.921, 0.000], [2.836, 5.921, 0.000], [-2.065, 0.000, 4.666]],
  "species": ["Sm", "Sm", "Zn", "Zn", "Zn", "Zn", "Ru", "Ru"],
  "frac_coords": [[0.144, 0.856, 0.750], [0.856, 0.144, 0.250], [0.286, 0.470, 0.936], [0.470, 0.286, 0.436], [0.530, 0.714, 0.564], [0.714, 0.530, 0.064], [0.228, 0.772, 0.250], [0.772, 0.228, 0.750]]
}

{
  "formula": "PrHfAl2",
  "functional": "PBE-GGA",
  "state": "optimized geometry",
  "e_tot_ev_per_atom": -5.815,
  "relative_energy_mev_per_atom": 0.0,
  "formation_energy_ev_per_atom": -0.261,
  "lattice": [[3.635, 0.000, 0.000], [0.000, 3.635, 0.000], [0.000, 0.000, 6.815]],
  "species": ["Pr", "Hf", "Al", "Al"],
  "frac_coords": [[0.000, 0.000, 0.000], [0.000, 0.000, 0.500], [0.500, 0.500, 0.299], [0.500, 0.500, 0.701]]
}

{
  "formula": "LaY2Sb",
  "functional": "PBE-GGA",
  "state": "optimized geometry",
  "formation_energy_uncorrected_mev_per_atom": -292,
  "e_tot_ev_per_atom": -5.787,
  "lattice": [[0.000, 3.899, 3.899], [3.899, 0.000, 3.899], [3.899, 3.899, 0.000]],
  "species": ["La", "Y", "Y", "Sb"],
  "frac_coords": [[0.000, 0.000, 0.000], [0.500, 0.500, 0.500], [0.750, 0.750, 0.750], [0.250, 0.250, 0.250]]
}

Please write out number 4 again, unchanged.
{
  "formula": "GaMoBr3",
  "functional": "PBE-GGA",
  "state": "optimized geometry",
  "formation_energy_uncorrected_mev_per_atom": -89,
  "e_tot_ev_per_atom": -3.865,
  "relative_energy_mev_per_atom": 0.0,
  "lattice": [[5.403, 0.000, 0.000], [0.000, 5.403, 0.000], [0.000, 0.000, 5.403]],
  "species": ["Ga", "Mo", "Br", "Br", "Br"],
  "frac_coords": [[0.000, 0.000, 0.000], [0.500, 0.500, 0.500], [0.000, 0.500, 0.500], [0.500, 0.000, 0.500], [0.500, 0.500, 0.000]]
}